A relaxed LiZn3Cu4 crystal, computed with PBE-GGA.

Calculated values
**E**: -0.211 Ry per atom
**V**: 13.0 Å³ per atom
**Energy above the most stable polymorph in this dataset**: 0.000 eV/atom
**Space group**: P-1, No. 2
**Calculated formation energy**: -0.1051 eV per atom

a = 4.503 Å, b = 4.566 Å, c = 5.907 Å
α = 104.71°, β = 103.97°, γ = 109.10°
Positions (direct):
Li 0.000 0.000 0.000
Zn 0.365 0.866 0.730
Zn 0.500 0.500 0.000
Zn 0.635 0.134 0.270
Cu 0.125 0.624 0.247
Cu 0.252 0.254 0.507
Cu 0.748 0.746 0.493
Cu 0.875 0.376 0.753


A relaxed Rb4Dy3ZrSe8 crystal, computed with PBE-GGA.

Calculated values
**E**: -0.367 Ry per atom
**V**: 30.2 Å³ per atom
**Formation energy from raw total energies**: -1.611 eV per atom
**Space group**: R-3m, No. 166

a = 9.346 Å, b = 9.346 Å, c = 9.346 Å
α = 53.03°, β = 53.03°, γ = 53.03°
Positions (direct):
Rb 0.000 0.000 0.000
Rb 0.000 0.500 0.500
Rb 0.500 0.000 0.500
Rb 0.500 0.500 0.000
Dy 0.000 0.000 0.500
Dy 0.000 0.500 0.000
Dy 0.500 0.000 0.000
Zr 0.500 0.500 0.500
Se 0.233 0.233 0.233
Se 0.242 0.726 0.726
Se 0.274 0.274 0.758
Se 0.274 0.758 0.274
Se 0.726 0.242 0.726
Se 0.726 0.726 0.242
Se 0.758 0.274 0.274
Se 0.767 0.767 0.767


A relaxed ZrOsW crystal, computed with PBE-GGA.

Calculated values
**E**: -0.803 Ry per atom
**V**: 17.4 Å³ per atom
**Energy above the most stable polymorph in this dataset**: 0.092 eV/atom
**Space group**: I4mm, No. 107
**Calculated formation energy**: -0.0131 eV per atom

a = 5.517 Å, b = 5.517 Å, c = 5.517 Å
α = 146.08°, β = 146.08°, γ = 48.73°
Positions (direct):
Zr 0.000 0.000 0.000
Os 0.674 0.674 0.000
W 0.322 0.322 0.000


A relaxed BaLiGaSi2 crystal, computed with PBE-GGA.

Calculated values
**E**: -0.285 Ry per atom
**V**: 21.6 Å³ per atom
**Formation energy from raw total energies**: -0.342 eV per atom
**Space group**: I-4m2, No. 119

a = 6.115 Å, b = 6.115 Å, c = 6.115 Å
α = 136.27°, β = 136.27°, γ = 63.56°
Positions (direct):
Ba 0.000 0.000 0.000
Li 0.750 0.250 0.500
Ga 0.250 0.750 0.500
Si 0.385 0.385 0.000
Si 0.615 0.615 0.000


A relaxed Ga2As2O7 crystal, computed with PBE-GGA.

Calculated values
**E**: -0.431 Ry per atom
**V**: 14.8 Å³ per atom
**Formation energy from raw total energies**: -1.316 eV per atom
**Space group**: C2/m, No. 12

a = 5.177 Å, b = 5.177 Å, c = 6.520 Å
α = 90.61°, β = 90.61°, γ = 110.87°
Positions (direct):
Ga 0.182 0.818 0.000
Ga 0.818 0.182 0.000
As 0.259 0.259 0.308
As 0.741 0.741 0.692
O 0.039 0.039 0.797
O 0.139 0.477 0.149
O 0.477 0.139 0.149
O 0.500 0.500 0.500
O 0.523 0.861 0.851
O 0.861 0.523 0.851
O 0.961 0.961 0.203


A relaxed CaEu2Y crystal, computed with PBE-GGA.

Calculated values
**E**: -0.525 Ry per atom
**V**: 38.5 Å³ per atom
**Energy above the most stable polymorph in this dataset**: 0.053 eV/atom
**Space group**: P4/mmm, No. 123
**Calculated formation energy**: 0.1102 eV per atom

a = 6.065 Å, b = 6.065 Å, c = 4.189 Å
α = 90.00°, β = 90.00°, γ = 90.00°
Positions (direct):
Ca 0.000 0.000 0.000
Eu 0.000 0.500 0.500
Eu 0.500 0.000 0.500
Y 0.500 0.500 0.000


A relaxed Pd2Pt2Se crystal, computed with PBE-GGA.

Calculated values
**E**: -0.371 Ry per atom
**V**: 17.2 Å³ per atom
**Energy above the most stable polymorph in this dataset**: 0.000 eV/atom
**Formation energy from raw total energies**: 0.136 eV per atom
**Space group**: P4/mbm, No. 127

a = 6.729 Å, b = 6.729 Å, c = 3.793 Å
α = 90.00°, β = 90.00°, γ = 90.00°
Positions (direct):
Pd 0.151 0.349 0.000
Pd 0.349 0.849 0.000
Pd 0.651 0.151 0.000
Pd 0.849 0.651 0.000
Pt 0.148 0.648 0.500
Pt 0.352 0.148 0.500
Pt 0.648 0.852 0.500
Pt 0.852 0.352 0.500
Se 0.000 0.000 0.500
Se 0.500 0.500 0.500


A relaxed DyMgAg crystal, computed with PBE-GGA.

Calculated values
**E**: -0.227 Ry per atom
**V**: 26.6 Å³ per atom
**Space group**: F-43m, No. 216
**Calculated formation energy**: -0.0679 eV per atom

a = 4.834 Å, b = 4.834 Å, c = 4.834 Å
α = 60.00°, β = 60.00°, γ = 60.00°
Positions (direct):
Dy 0.000 0.000 0.000
Mg 0.500 0.500 0.500
Ag 0.750 0.750 0.750